(1)
Material: Pm2HoZn4
Method: DFT, PBE
State: optimized geometry

Calculated values
**Symmetry**: No. 139
**Formation enthalpy at 0 K**: -1.1 eV per formula unit

Cell: 5.1959 5.1959 7.3432 Å, 110.72 110.72 90.00°
Element x y z (fractional)
Pm1 0.2780 0.2780 0.5560
Pm2 0.7220 0.7220 0.4440
Zn1 0.8946 0.3946 0.7892
Zn2 0.3946 0.8946 0.7892
Zn3 0.1054 0.6054 0.2108
Zn4 0.6054 0.1054 0.2108
Ho1 0.0000 0.0000 0.0000

(2)
Material: ZrRh2Cl
Method: DFT, PBE
State: optimized geometry

Calculated values
**Symmetry**: No. 8
**Uncorrected formation energy**: -34.6 kJ/mol of atoms
**Excess energy over the best structure of this formula in the dataset**: 33 kJ/mol of formula units

Cell: 5.1097 5.1097 5.5319 Å, 59.91 59.91 35.18°
Element x y z (fractional)
Rh1 0.0554 0.0554 0.9098
Rh2 0.8032 0.8032 0.8439
Cl1 0.1804 0.1804 0.3797
Zr1 0.4610 0.4610 0.3666